First-principles (GGA-PBE) data for a relaxed structure of Na4HoU3S8, as listed in Alexandria.

## Properties
* raw total energy: -100.10 eV/cell
* M_tot: 9.01 μB per cell
* symmetry: R-3m (166)

a = 7.914 Å, b = 8.157 Å, c = 7.913 Å
α = 119.03°, β = 120.00°, γ = 90.00°
Each line ends with the local moment (μB).
Atoms (fractional coordinates):
1 Na 0.500 0.000 0.000  0.00
2 Na 0.500 0.000 0.500  0.00
3 Na 0.000 0.000 0.000  0.00
4 Na 0.000 0.000 0.500  0.00
5 Ho 0.000 0.500 0.000  0.18
6 U 0.500 0.500 0.000  2.61
7 U 0.500 0.500 0.500  2.61
8 U 0.000 0.500 0.500  2.61
9 S 0.242 0.730 0.988  -0.04
10 S 0.242 0.730 0.485  -0.04
11 S 0.256 0.268 0.512  -0.06
12 S 0.745 0.730 0.988  -0.04
13 S 0.255 0.270 0.012  -0.04
14 S 0.744 0.732 0.488  -0.06
15 S 0.758 0.270 0.515  -0.04
16 S 0.758 0.270 0.012  -0.04


First-principles (GGA-PBE) data for a relaxed structure of Na3Ho3VS8, as listed in Alexandria.

## Properties
* raw total energy: -83.49 eV/cell
* M_tot: 1.00 μB per cell
* symmetry: R-3m (166)

a = 7.706 Å, b = 7.706 Å, c = 8.097 Å
α = 118.43°, β = 90.00°, γ = 120.00°
Each line ends with the local moment (μB).
Atoms (fractional coordinates):
1 Na 0.000 0.000 0.000  0.00
2 Na 0.000 0.500 0.000  0.00
3 Na 0.500 0.500 0.000  0.00
4 Ho 0.500 0.000 0.500  0.01
5 Ho 0.500 0.500 0.500  0.01
6 Ho 0.000 0.500 0.500  0.01
7 V 0.000 0.000 0.500  1.10
8 S 0.257 0.514 0.272  -0.01
9 S 0.743 0.486 0.728  -0.01
10 S 0.779 0.558 0.291  -0.03
11 S 0.221 0.442 0.709  -0.03
12 S 0.779 0.012 0.291  -0.03
13 S 0.221 0.988 0.709  -0.03
14 S 0.233 0.012 0.291  -0.03
15 S 0.767 0.988 0.709  -0.03